The following is a DFT calculation (PBE-GGA) of crystalline ZrHgC3 at its relaxed geometry.

Output
* formation energy from the elements: 11.1 eV per formula unit
* final energy: -25.4 eV per cell
* DOS at the Fermi energy: 2.16 states/eV/cell
* energy above the lowest structure with this stoichiometry: 0.000 eV/atom
* spin magnetization: 0.000 μB per atom

Cell lengths 4.421, 4.421, 4.421 Å; angles 90.00, 90.00, 90.00 degrees
Element x y z (fractional)
Zr1 0.000 0.000 0.000
Hg1 0.500 0.500 0.500
C1 0.000 0.000 0.500
C2 0.000 0.500 0.000
C3 0.500 0.000 0.000